{"formula": "AcCo2IO8", "functional": "GGA+U", "state": "optimized geometry", "cell": [[5.6548, 0.0000, 0.0000], [-2.8274, 4.8972, 0.0000], [0.0000, 0.0000, 6.9868]], "species": ["Ac", "Co", "Co", "I", "O", "O", "O", "O", "O", "O", "O", "O"], "frac_coords": [[0.0000, 0.0000, 0.0000], [0.3333, 0.6667, 0.2430], [0.6667, 0.3333, 0.7570], [0.0000, 0.0000, 0.5000], [0.1529, 0.3059, 0.3160], [0.1529, 0.8471, 0.3160], [0.3059, 0.1529, 0.6840], [0.3333, 0.6667, 0.9972], [0.6667, 0.3333, 0.0028], [0.6941, 0.8471, 0.3160], [0.8471, 0.1529, 0.6840], [0.8471, 0.6941, 0.6840]], "dft_energy_ev_per_atom": -5.64}